Density functional theory data (PBE) for a relaxed structure of TlHgAs2.

Results
calculated formation energy	0.04	eV/atom
relative energy among the computed polymorphs	12	kJ/mol of formula units

a = 5.757 Å, b = 5.995 Å, c = 3.568 Å
α = 102.60°, β = 85.55°, γ = 111.06°
Atoms (fractional coordinates):
1 As 0.090 0.724 0.287
2 Hg 0.526 0.578 0.263
3 Tl 0.725 0.167 0.555
4 As 0.159 0.031 0.894